The following is a DFT calculation (PBE) of a relaxed RbU2GeO8 crystal.

Electronic total energy = -8.07 eV per atom
Energy relative to the elements, uncorrected = -2.417 eV per atom
Crystal system = triclinic

Unit cell a=5.0648 b=5.0578 c=7.2077 alpha=87.64 beta=87.67 gamma=83.70
Closest atoms and distances in Å follow each position.
Fractional positions:
O1 0.8146 0.2052 0.8170  1 Ge 1.86
O2 0.2038 0.8134 0.8171  1 Ge 1.86
O3 0.3166 0.3151 0.9912  1 U 2.03
O4 0.6834 0.6849 0.0088  1 U 2.03
O5 0.1854 0.7948 0.1830  1 Ge 1.86
O6 0.6534 0.6560 0.5452  1 U 1.96
O7 0.7962 0.1866 0.1829  1 Ge 1.86
O8 0.3466 0.3440 0.4548  1 U 1.96
Ge1 0.0000 0.0000 0.0000  4 O 1.86
U1 0.5121 0.5120 0.2361  4 O 1.96-2.10
U2 0.4879 0.4880 0.7639  4 O 1.96-2.10
Rb1 0.0000 0.0000 0.5000  6 O 2.61-2.64

The following is a DFT calculation (PBE) of a relaxed LaZn3N crystal.

Electronic total energy = -1.37 eV per atom
Energy relative to the elements, uncorrected = 2.048 eV per atom
Energy above the most stable polymorph in this dataset = 1.642 eV/atom
Crystal system = cubic

Unit cell a=5.8486 b=5.8486 c=5.8486 alpha=90.00 beta=90.00 gamma=90.00
Closest atoms and distances in Å follow each position.
Fractional positions:
Zn1 0.0000 0.0000 0.5000  2 La 2.92
Zn2 0.5000 0.0000 0.0000  2 La 2.92
Zn3 0.0000 0.5000 0.0000  2 La 2.92
La1 0.0000 0.0000 0.0000  6 Zn 2.92
N1 0.5000 0.5000 0.5000  12 Zn 4.14

The following is a DFT calculation (PBE) of a relaxed Zr2TlCu crystal.

Electronic total energy = -5.92 eV per atom
Calculated formation energy = -0.1 eV per formula unit
Crystal system = orthorhombic

Unit cell a=3.2830 b=4.1395 c=5.9568 alpha=90.00 beta=90.01 gamma=90.00
Closest atoms and distances in Å follow each position.
Fractional positions:
Tl1 0.5000 0.5000 0.5000  2 Cu 2.98, 8 Zr 3.07, 2 Tl 3.28
Cu1 0.5000 0.5000 0.0000  2 Tl 2.98, 8 Zr 2.99-3.00, 2 Cu 3.28
Zr1 0.0001 0.0000 0.7631  2 Zr 2.82-3.13, 4 Cu 2.99-3.00, 4 Tl 3.07
Zr2 0.9999 0.0000 0.2369  2 Zr 2.82-3.13, 4 Cu 2.99-3.00, 4 Tl 3.07

The following is a DFT calculation (PBE) of a relaxed Cr2BW crystal.

Electronic total energy = -9.68 eV per atom
Calculated formation energy = 0.1 eV per formula unit
Crystal system = orthorhombic

Unit cell a=2.9163 b=3.5882 c=8.8135 alpha=90.00 beta=99.52 gamma=90.00
Closest atoms and distances in Å follow each position.
Fractional positions:
B1 0.8414 0.7500 0.6829  5 Cr 2.18-2.37, 4 W 2.41
B2 0.1586 0.2500 0.3171  5 Cr 2.18-2.37, 4 W 2.41
Cr1 0.7521 0.2500 0.5043  4 B 2.18-2.37, 4 Cr 2.31
Cr2 0.2479 0.7500 0.4957  4 B 2.18-2.37, 4 Cr 2.31
Cr3 0.0322 0.2500 0.0644  2 Cr 2.11, 1 B 2.20
Cr4 0.9678 0.7500 0.9356  2 Cr 2.11, 1 B 2.20
W1 0.3807 0.2500 0.7614  4 B 2.41, 2 Cr 2.67
W2 0.6193 0.7500 0.2386  4 B 2.41, 2 Cr 2.67

The following is a DFT calculation (PBE) of a relaxed Pm3In2Pb crystal.

Electronic total energy = -4.40 eV per atom
Energy above the most stable polymorph in this dataset = 0.005 eV/atom
Calculated formation energy = -3.0 eV per formula unit
Crystal system = tetragonal

Unit cell a=3.5979 b=3.5979 c=13.3668 alpha=90.00 beta=90.00 gamma=90.00
Closest atoms and distances in Å follow each position.
Fractional positions:
Pm1 0.0000 0.0000 0.3264  4 In 3.34, 4 Pb 3.44, 4 Pm 3.60
Pm2 0.0000 0.0000 0.6736  4 In 3.34, 4 Pb 3.44, 4 Pm 3.60
Pm3 0.0000 0.0000 0.0000  8 In 3.36, 4 Pm 3.60
Pb1 0.5000 0.5000 0.5000  8 Pm 3.44, 4 Pb 3.60
In1 0.5000 0.5000 0.8353  8 Pm 3.34-3.36, 4 In 3.60
In2 0.5000 0.5000 0.1647  8 Pm 3.34-3.36, 4 In 3.60

The following is a DFT calculation (PBE) of a relaxed MnNb2HPd crystal.

Electronic total energy = -7.67 eV per atom
Crystal system = tetragonal

Unit cell a=4.0943 b=4.0943 c=3.9335 alpha=90.00 beta=90.00 gamma=90.00
Closest atoms and distances in Å follow each position.
Fractional positions:
Pd1 0.5000 0.5000 0.5000  8 Nb 2.84, 4 Mn 2.90
Nb1 0.5000 0.0000 0.0000  2 H 2.05
Nb2 0.0000 0.5000 0.0000  2 H 2.05
H1 0.0000 0.0000 0.0000  2 Mn 1.97, 4 Nb 2.05
Mn1 0.0000 0.0000 0.5000  2 H 1.97

The following is a DFT calculation (PBE) of a relaxed NaNbGe2 crystal.

Electronic total energy = -4.71 eV per atom
Calculated formation energy = 1.8 eV per formula unit
Crystal system = tetragonal

Unit cell a=5.0345 b=5.0345 c=9.2922 alpha=74.28 beta=74.28 gamma=90.00
Closest atoms and distances in Å follow each position.
Fractional positions:
Ge1 0.9822 0.6250 0.2500  2 Nb 2.55, 2 Ge 2.74
Ge2 0.3750 0.2322 0.7500  2 Nb 2.55, 2 Ge 2.74
Ge3 0.7678 0.1250 0.2500  2 Nb 2.55, 2 Ge 2.74
Ge4 0.8750 0.0178 0.7500  2 Nb 2.55, 2 Ge 2.74
Nb1 0.0000 0.0000 0.0000  4 Ge 2.55
Nb2 0.7500 0.2500 0.5000  4 Ge 2.55
Na1 0.5000 0.5000 0.0000  4 Ge 3.18
Na2 0.2500 0.7500 0.5000  4 Ge 3.18

The following is a DFT calculation (PBE) of a relaxed CeTm8Tl6 crystal.

Electronic total energy = -3.81 eV per atom
Calculated formation energy = -1.3 eV per formula unit
Crystal system = trigonal

Unit cell a=9.0257 b=9.0257 c=8.3065 alpha=57.09 beta=57.09 gamma=60.00
Closest atoms and distances in Å follow each position.
Fractional positions:
Tl1 0.2751 0.5939 0.1963  7 Tm 3.07-3.40, 1 Ce 3.33
Tl2 0.0652 0.7249 0.8037  7 Tm 3.07-3.40, 1 Ce 3.33
Tl3 0.5939 0.9348 0.1963  7 Tm 3.07-3.40, 1 Ce 3.33
Tl4 0.4061 0.0652 0.8037  7 Tm 3.07-3.40, 1 Ce 3.33
Tl5 0.7249 0.4061 0.8037  7 Tm 3.07-3.40, 1 Ce 3.33
Tl6 0.9348 0.2751 0.1963  7 Tm 3.07-3.40, 1 Ce 3.33
Ce1 0.0000 0.0000 0.0000  6 Tl 3.33, 6 Tm 3.66
Tm1 0.8886 0.5613 0.3291  5 Tl 3.07-3.40
Tm2 0.3325 0.3325 0.0025  6 Tl 3.23-3.24
Tm3 0.5613 0.2211 0.3291  5 Tl 3.07-3.40
Tm4 0.2211 0.8886 0.3291  5 Tl 3.07-3.40
Tm5 0.1114 0.4387 0.6709  5 Tl 3.07-3.40
Tm6 0.4387 0.7789 0.6709  5 Tl 3.07-3.40
Tm7 0.6675 0.6675 0.9975  6 Tl 3.23-3.24
Tm8 0.7789 0.1114 0.6709  5 Tl 3.07-3.40

The following is a DFT calculation (PBE) of a relaxed Pm2ErHfSb4 crystal.

Electronic total energy = -6.03 eV per atom
Energy relative to the elements, uncorrected = -0.964 eV per atom
Crystal system = monoclinic

Unit cell a=4.3490 b=7.5314 c=7.5384 alpha=109.32 beta=90.00 gamma=90.00
Closest atoms and distances in Å follow each position.
Fractional positions:
Sb1 0.0000 0.7526 0.2346  1 Hf 2.96, 2 Er 3.04, 3 Pm 3.12-3.18
Sb2 0.0000 0.2474 0.7654  1 Hf 2.96, 2 Er 3.04, 3 Pm 3.12-3.18
Sb3 0.5000 0.2359 0.2296  2 Hf 2.97, 1 Er 3.04, 3 Pm 3.12-3.19
Sb4 0.5000 0.7641 0.7704  2 Hf 2.97, 1 Er 3.04, 3 Pm 3.12-3.19
Pm1 0.0000 0.5000 0.5000  6 Sb 3.18-3.19
Pm2 0.5000 0.0000 0.5000  6 Sb 3.12
Hf1 0.0000 0.0000 0.0000  6 Sb 2.96-2.97
Er1 0.5000 0.5000 0.0000  6 Sb 3.04

The following is a DFT calculation (PBE) of a relaxed DySc3In2 crystal.

Electronic total energy = -5.13 eV per atom
Energy above the most stable polymorph in this dataset = 0.000 eV/atom
Calculated formation energy = -1.7 eV per formula unit
Crystal system = orthorhombic

Unit cell a=3.2925 b=8.5166 c=21.2349 alpha=90.00 beta=90.00 gamma=90.00
Closest atoms and distances in Å follow each position.
Fractional positions:
Sc1 0.2500 0.4544 0.9224  5 In 3.02-3.32, 3 Sc 3.17-3.29
Sc2 0.7500 0.2853 0.3081  4 In 3.11-3.12, 5 Sc 3.17-3.29, 2 Dy 3.22-3.29
Sc3 0.7500 0.7853 0.1919  4 In 3.11-3.12, 5 Sc 3.17-3.29, 2 Dy 3.22-3.29
Sc4 0.7500 0.1081 0.9348  3 In 3.04-3.13, 6 Sc 3.28-3.39
Sc5 0.7500 0.0456 0.4224  5 In 3.02-3.32, 3 Sc 3.17-3.29
Sc6 0.2500 0.8919 0.0652  3 In 3.04-3.13, 6 Sc 3.28-3.39
Sc7 0.2500 0.7147 0.6919  4 In 3.11-3.12, 5 Sc 3.17-3.29, 2 Dy 3.22-3.29
Sc8 0.2500 0.3919 0.4348  3 In 3.04-3.13, 6 Sc 3.28-3.39
Sc9 0.2500 0.2147 0.8081  4 In 3.11-3.12, 5 Sc 3.17-3.29, 2 Dy 3.22-3.29
Sc10 0.7500 0.6081 0.5652  3 In 3.04-3.13, 6 Sc 3.28-3.39
Sc11 0.2500 0.9544 0.5776  5 In 3.02-3.32, 3 Sc 3.17-3.29
Sc12 0.7500 0.5456 0.0776  5 In 3.02-3.32, 3 Sc 3.17-3.29
In1 0.7500 0.7455 0.9603  6 Sc 3.02-3.13, 2 Dy 3.19, 2 In 3.29
In2 0.7500 0.2455 0.5397  6 Sc 3.02-3.13, 2 Dy 3.19, 2 In 3.29
In3 0.2500 0.7545 0.4603  6 Sc 3.02-3.13, 2 Dy 3.19, 2 In 3.29
In4 0.2500 0.9786 0.2894  6 Sc 3.11-3.32, 2 In 3.29, 2 Dy 3.36
In5 0.7500 0.5214 0.7894  6 Sc 3.11-3.32, 2 In 3.29, 2 Dy 3.36
In6 0.2500 0.4786 0.2106  6 Sc 3.11-3.32, 2 In 3.29, 2 Dy 3.36
In7 0.7500 0.0214 0.7106  6 Sc 3.11-3.32, 2 In 3.29, 2 Dy 3.36
In8 0.2500 0.2545 0.0397  6 Sc 3.02-3.13, 2 Dy 3.19, 2 In 3.29
Dy1 0.7500 0.1562 0.1622  6 In 3.19-3.51, 4 Sc 3.22-3.47, 2 Dy 3.29
Dy2 0.2500 0.3438 0.6622  6 In 3.19-3.51, 4 Sc 3.22-3.47, 2 Dy 3.29
Dy3 0.2500 0.8438 0.8378  6 In 3.19-3.51, 4 Sc 3.22-3.47, 2 Dy 3.29
Dy4 0.7500 0.6562 0.3378  6 In 3.19-3.51, 4 Sc 3.22-3.47, 2 Dy 3.29

The following is a DFT calculation (PBE) of a relaxed ScSbTe2Se crystal.

Electronic total energy = -3.78 eV per atom
Energy relative to the elements, uncorrected = 0.267 eV per atom
Energy above the most stable polymorph in this dataset = 0.098 eV/atom
Crystal system = tetragonal

Unit cell a=5.3735 b=5.3735 c=5.3928 alpha=90.00 beta=90.00 gamma=90.00
Closest atoms and distances in Å follow each position.
Fractional positions:
Te1 0.5000 0.0000 0.0000  2 Se 2.69
Te2 0.0000 0.5000 0.0000  2 Se 2.69
Se1 0.0000 0.0000 0.0000  4 Te 2.69, 2 Sb 2.70
Sc1 0.5000 0.5000 0.5000  4 Sb 3.80, 8 Te 3.81
Sb1 0.0000 0.0000 0.5000  2 Se 2.70

The following is a DFT calculation (PBE) of a relaxed Cd2CuPb crystal.

Electronic total energy = -2.20 eV per atom
Calculated formation energy = 0.8 eV per formula unit
Crystal system = tetragonal

Unit cell a=8.2173 b=8.2173 c=6.4700 alpha=50.58 beta=50.58 gamma=90.00
Closest atoms and distances in Å follow each position.
Fractional positions:
Cd1 0.5679 0.1250 0.2500  2 Cu 2.69, 2 Cd 3.00
Cd2 0.1821 0.6250 0.2500  2 Cu 2.69, 2 Cd 3.00
Cd3 0.3750 0.4321 0.7500  2 Cu 2.69, 2 Cd 3.00
Cd4 0.8750 0.8179 0.7500  2 Cu 2.69, 2 Cd 3.00
Pb1 0.7500 0.2500 0.5000  2 Cu 2.85
Pb2 0.0000 0.0000 0.0000  2 Cu 2.85
Cu1 0.2500 0.7500 0.5000  4 Cd 2.69, 2 Pb 2.85
Cu2 0.5000 0.5000 0.0000  4 Cd 2.69, 2 Pb 2.85